First-principles (PBE) data for a relaxed structure of B2RuW, as listed in the Alexandria database.

Computed properties:
Its formation enthalpy at 0 K is 0.0053 eV per atom. For the calculated density, the calculation gives 11732 kg/m³. Its total energy is -35.563 eV for the cell shown. Its space-group type is R-3m (166). The value obtained for the total magnetic moment is 0.00 μB/cell.

```
B2RuW
1.0
-0.965 1.906 -2.472
-0.126 -1.201 -3.036
-4.807 -1.094 -1.127
Ru W B
1 1 2
Cartesian
0.000 0.000 0.000
-2.949 -0.194 -3.318
-1.390 -0.072 -1.672
-4.508 -0.316 -4.963
```